Cs2AgHgBi after structural relaxation. Source: the Alexandria database, functional PBE.

abc: 7.0913 7.0913 5.3467
angles: 90.00 90.00 90.00
Positions (direct):
Cs  0.0000  0.5000  0.0000
Cs  0.5000  0.0000  0.0000
Ag  0.0000  0.0000  0.0000
Hg  0.5000  0.5000  0.5000
Bi  0.0000  0.0000  0.5000

## Properties
DFT total energy, eV/cell: -9.31
Polymorph energy (0 for the lowest one), kJ/mol of atoms: 0.0
ΔH_f (0 K), meV per atom: -113


Cs4AgHg2Bi2 after structural relaxation. Source: the Alexandria database, functional PBE.

abc: 9.2834 9.2834 5.5045
angles: 94.66 94.66 71.21
Positions (direct):
Cs  0.1183  0.6407  0.7809
Cs  0.3593  0.8817  0.2191
Cs  0.6407  0.1183  0.7809
Cs  0.8817  0.3593  0.2191
Ag  0.5000  0.5000  0.5000
Hg  0.2048  0.2048  0.7403
Hg  0.7952  0.7952  0.2597
Bi  0.3235  0.3235  0.2793
Bi  0.6765  0.6765  0.7207

## Properties
DFT total energy, eV/cell: -16.86
ΔH_f (0 K), meV per atom: -247


CsAgBiI6 after structural relaxation. Source: the Alexandria database, functional PBE.

abc: 7.6705 7.6845 8.2734
angles: 93.62 100.60 109.09
Positions (direct):
Cs  0.0000  0.0000  0.0000
Ag  0.8138  0.3210  0.4201
Bi  0.4279  0.6190  0.4998
I  0.0630  0.5600  0.2240
I  0.1406  0.2773  0.6103
I  0.4390  0.8990  0.7707
I  0.5024  0.3674  0.2104
I  0.6532  0.9256  0.3115
I  0.7533  0.5239  0.7065

## Properties
DFT total energy, eV/cell: -21.90
E_form (uncorrected), meV per atom: -557.0


What did the second record say?
Cs4AgHg2Bi2 after structural relaxation. Source: the Alexandria database, functional PBE.

abc: 9.2834 9.2834 5.5045
angles: 94.66 94.66 71.21
Positions (direct):
Cs  0.1183  0.6407  0.7809
Cs  0.3593  0.8817  0.2191
Cs  0.6407  0.1183  0.7809
Cs  0.8817  0.3593  0.2191
Ag  0.5000  0.5000  0.5000
Hg  0.2048  0.2048  0.7403
Hg  0.7952  0.7952  0.2597
Bi  0.3235  0.3235  0.2793
Bi  0.6765  0.6765  0.7207

## Properties
DFT total energy, eV/cell: -16.86
ΔH_f (0 K), meV per atom: -247